First-principles (GGA-PBE) data for a relaxed Pm2PrScS4 crystal, as listed in Alexandria via LeMat-Bulk.

Raw formation energy ... -44.870 kcal/mol of atoms
Crystal system ... monoclinic
E_tot ... -6.59 eV/atom

Cell: 3.9323 6.9596 6.8776 Å, 108.90 90.00 90.00°
Element x y z (fractional)
1 Pm 0.5000 0.0000 0.5000
2 Pm 0.0000 0.5000 0.5000
3 S 0.5000 0.7710 0.7671
4 S 0.0000 0.7641 0.2444
5 S 0.5000 0.2290 0.2329
6 S 0.0000 0.2359 0.7556
7 Sc 0.0000 0.0000 0.0000
8 Pr 0.5000 0.5000 0.0000

First-principles (GGA-PBE) data for a relaxed Ac2PmRh crystal, as listed in Alexandria via LeMat-Bulk.

ΔE to the lowest computed polymorph ... 49 meV per atom
Crystal system ... orthorhombic
Formation energy from the elements ... -354 meV per atom
E_tot ... -5.43 eV/atom

Cell: 4.3069 5.7054 7.0408 Å, 113.89 107.79 90.05°
Element x y z (fractional)
1 Rh 0.5000 0.0090 0.0000
2 Pm 0.5000 0.5090 0.0000
3 Ac 0.8346 0.8436 0.6694
4 Ac 0.1653 0.1743 0.3306

First-principles (GGA-PBE) data for a relaxed ZnPAu2 crystal, as listed in Alexandria via LeMat-Bulk.

ΔE to the lowest computed polymorph ... 75 meV per atom
Crystal system ... tetragonal
Formation energy from the elements ... 146 meV per atom
E_tot ... -3.16 eV/atom

Cell: 4.1137 4.1137 3.9597 Å, 90.00 90.00 90.00°
Element x y z (fractional)
1 Au 0.5000 0.0000 0.0000
2 Au 0.0000 0.5000 0.0000
3 P 0.0000 0.0000 0.5000
4 Zn 0.5000 0.5000 0.5000

First-principles (GGA-PBE) data for a relaxed CaTa crystal, as listed in Alexandria via LeMat-Bulk.

ΔE to the lowest computed polymorph ... 230 meV per atom
Crystal system ... tetragonal
Formation energy from the elements ... 587 meV per atom
E_tot ... -6.34 eV/atom

Cell: 10.6984 10.6984 4.6344 Å, 90.00 90.00 90.00°
Element x y z (fractional)
1 Ta 0.3196 0.5484 0.5000
2 Ta 0.3272 0.4056 0.0000
3 Ta 0.6804 0.4516 0.5000
4 Ta 0.5484 0.6804 0.5000
5 Ta 0.4056 0.6728 0.0000
6 Ta 0.6728 0.5944 0.0000
7 Ta 0.5944 0.3272 0.0000
8 Ta 0.4516 0.3196 0.5000
9 Ca 0.1097 0.6216 0.0000
10 Ca 0.7236 0.1454 0.5000
11 Ca 0.3784 0.1097 0.0000
12 Ca 0.8903 0.3784 0.0000
13 Ca 0.1454 0.2764 0.5000
14 Ca 0.8546 0.7236 0.5000
15 Ca 0.6216 0.8903 0.0000
16 Ca 0.2764 0.8546 0.5000

First-principles (GGA-PBE) data for a relaxed Ca2ThPb9 crystal, as listed in Alexandria via LeMat-Bulk.

Crystal system ... tetragonal
Formation energy from the elements ... -290 meV per atom
E_tot ... -4.02 eV/atom

Cell: 4.9198 4.9198 14.8372 Å, 90.00 90.00 90.00°
Element x y z (fractional)
1 Th 0.0000 0.0000 0.0000
2 Pb 0.5000 0.0000 0.1681
3 Pb 0.0000 0.5000 0.1681
4 Pb 0.0000 0.5000 0.8319
5 Pb 0.5000 0.0000 0.8319
6 Pb 0.5000 0.0000 0.5000
7 Pb 0.0000 0.5000 0.5000
8 Pb 0.5000 0.5000 0.3347
9 Pb 0.5000 0.5000 0.6653
10 Pb 0.5000 0.5000 0.0000
11 Ca 0.0000 0.0000 0.3294
12 Ca 0.0000 0.0000 0.6706

First-principles (GGA-PBE) data for a relaxed PAuC2 crystal, as listed in Alexandria via LeMat-Bulk.

Crystal system ... monoclinic
Formation energy from the elements ... 576 meV per atom
E_tot ... -6.21 eV/atom

Cell: 4.1186 2.5493 12.1547 Å, 90.00 101.74 90.00°
Element x y z (fractional)
1 C 0.3057 0.5000 0.6234
2 C 0.3698 0.0000 0.6780
3 C 0.3057 0.0000 0.1234
4 C 0.3698 0.5000 0.1780
5 P 0.1896 0.0000 0.9704
6 P 0.1896 0.5000 0.4704
7 Au 0.6549 0.0000 0.8416
8 Au 0.6549 0.5000 0.3416

First-principles (GGA-PBE) data for a relaxed Tb6TeC2S3 crystal, as listed in Alexandria via LeMat-Bulk.

Raw formation energy ... -31.362 kcal/mol of atoms
Crystal system ... monoclinic
E_tot ... -6.51 eV/atom

Cell: 3.8568 8.0273 8.7660 Å, 101.78 102.71 90.00°
Element x y z (fractional)
1 S 0.8390 0.1645 0.6781
2 S 0.5000 0.5000 0.0000
3 S 0.1610 0.8355 0.3219
4 Tb 0.9762 0.7141 0.9523
5 Tb 0.6764 0.5674 0.3528
6 Tb 0.6788 0.1326 0.3575
7 Tb 0.3212 0.8674 0.6425
8 Tb 0.3236 0.4326 0.6472
9 Tb 0.0238 0.2859 0.0477
10 Te 0.5000 0.0000 0.0000
11 C 0.1714 0.3408 0.3428
12 C 0.8286 0.6592 0.6572

First-principles (GGA-PBE) data for a relaxed CdSn2As crystal, as listed in Alexandria via LeMat-Bulk.

ΔE to the lowest computed polymorph ... 51 meV per atom
Crystal system ... triclinic
Formation energy from the elements ... 65 meV per atom
E_tot ... -3.33 eV/atom

Cell: 3.1105 4.0030 8.2880 Å, 89.89 89.48 81.37°
Element x y z (fractional)
1 Sn 0.0031 0.0010 0.7559
2 Sn 0.9969 0.9990 0.2441
3 As 0.0000 0.5000 0.0000
4 Cd 0.5000 0.5000 0.5000

> E_tot of number 5 (Ca2ThPb9)?

-4.02 eV/atom